Crystalline GaFeIr at its relaxed geometry. Source: the Alexandria database, functional PBE.

ΔE_f = -179 meV per atom
Fermi-level density of states = 1.8 states/eV per cell
Crystal system = tetragonal
M_tot = 2.6 Bohr magnetons per cell

a = 2.8880 Å, b = 2.8880 Å, c = 5.2592 Å
α = 105.94°, β = 105.94°, γ = 90.00°
Atoms (fractional coordinates):
Ir1 0.9501 0.9501 0.9002
Fe1 0.6197 0.6197 0.2394
Ga1 0.2802 0.2802 0.5604

---

Crystalline Ga6FeIr at its relaxed geometry. Source: the Alexandria database, functional PBE.

ΔE_f = 20 meV per atom
Fermi-level density of states = 2.6 states/eV per cell
Crystal system = monoclinic
M_tot = 0.0 Bohr magnetons per cell

a = 5.1707 Å, b = 5.1707 Å, c = 6.0639 Å
α = 96.55°, β = 96.55°, γ = 107.04°
Atoms (fractional coordinates):
Ga1 0.7580 0.7580 0.2418
Ir1 0.5000 0.5000 0.5000
Ga2 0.0552 0.4138 0.2434
Ga3 0.5862 0.9448 0.7566
Ga4 0.4138 0.0552 0.2434
Ga5 0.9448 0.5862 0.7566
Ga6 0.2420 0.2420 0.7582
Fe1 0.0000 0.0000 0.0000

---

Crystalline GaFe3Ir12 at its relaxed geometry. Source: the Alexandria database, functional PBE.

ΔE_f = -62 meV per atom
Fermi-level density of states = 16.9 states/eV per cell
Crystal system = tetragonal
M_tot = 2.7 Bohr magnetons per cell

a = 3.8349 Å, b = 3.8349 Å, c = 15.3602 Å
α = 90.00°, β = 90.00°, γ = 90.00°
Atoms (fractional coordinates):
Ir1 0.5000 0.5000 0.0000
Ir2 0.5000 0.0000 0.3760
Fe1 0.0000 0.0000 0.2511
Ir3 0.5000 0.0000 0.8707
Ir4 0.5000 0.0000 0.1293
Ir5 0.0000 0.5000 0.3760
Fe2 0.0000 0.0000 0.5000
Fe3 0.0000 0.0000 0.7489
Ir6 0.5000 0.5000 0.2521
Ir7 0.0000 0.5000 0.6240
Ir8 0.0000 0.5000 0.8707
Ga1 0.0000 0.0000 0.0000
Ir9 0.5000 0.0000 0.6240
Ir10 0.5000 0.5000 0.5000
Ir11 0.5000 0.5000 0.7479
Ir12 0.0000 0.5000 0.1293

---

Crystalline GaFe2Ir4 at its relaxed geometry. Source: the Alexandria database, functional PBE.

ΔE_f = 51 meV per atom
Fermi-level density of states = 18.7 states/eV per cell
Crystal system = hexagonal
M_tot = 14.7 Bohr magnetons per cell

a = 4.2311 Å, b = 4.2316 Å, c = 12.9423 Å
α = 90.00°, β = 90.00°, γ = 120.00°
Atoms (fractional coordinates):
Fe1 0.1667 0.3333 0.0570
Ir1 0.8334 0.6668 0.1381
Ir2 0.8332 0.6664 0.7500
Fe2 0.8333 0.6667 0.5570
Ga1 0.4999 0.9998 0.7500
Ir3 0.1666 0.3332 0.8619
Ir4 0.1668 0.3336 0.2500
Fe3 0.8333 0.6667 0.9430
Ir5 0.5000 0.0000 0.5000
Ir6 0.8334 0.6668 0.3619
Ir7 0.5000 0.0000 0.0000
Ir8 0.1666 0.3332 0.6381
Ga2 0.5001 0.0002 0.2500
Fe4 0.1667 0.3333 0.4430

---

Crystalline Ga2Fe2Ir at its relaxed geometry. Source: the Alexandria database, functional PBE.

ΔE_f = 72 meV per atom
Fermi-level density of states = 9.0 states/eV per cell
Crystal system = tetragonal
M_tot = 8.7 Bohr magnetons per cell

a = 6.9082 Å, b = 6.9082 Å, c = 2.8228 Å
α = 90.00°, β = 90.00°, γ = 90.00°
Atoms (fractional coordinates):
Ir1 0.5000 0.5000 0.0000
Fe1 0.6168 0.1168 0.0000
Ga1 0.1812 0.6812 0.5000
Ga2 0.3188 0.1812 0.5000
Ir2 0.0000 0.0000 0.0000
Fe2 0.8832 0.6168 0.0000
Fe3 0.1168 0.3832 0.0000
Ga3 0.8188 0.3188 0.5000
Ga4 0.6812 0.8188 0.5000
Fe4 0.3832 0.8832 0.0000

---

Crystalline Ga5FeIr6 at its relaxed geometry. Source: the Alexandria database, functional PBE.

ΔE_f = -331 meV per atom
Fermi-level density of states = 5.8 states/eV per cell
Crystal system = monoclinic
M_tot = 4.1 Bohr magnetons per cell

a = 4.3111 Å, b = 6.0827 Å, c = 7.4863 Å
α = 113.97°, β = 106.84°, γ = 90.00°
Atoms (fractional coordinates):
Ir1 0.1675 0.9163 0.3352
Fe1 0.0000 0.0000 0.0000
Ir2 0.5000 0.2527 0.0000
Ir3 0.5000 0.7473 0.0000
Ga1 0.3375 0.8373 0.6747
Ga2 0.6625 0.1627 0.3253
Ga3 0.3326 0.3326 0.6652
Ga4 0.6674 0.6674 0.3348
Ir4 0.1675 0.4188 0.3352
Ir5 0.8325 0.0837 0.6648
Ga5 0.0000 0.5000 0.0000
Ir6 0.8325 0.5812 0.6648

---

Crystalline LiGa2FeIr at its relaxed geometry. Source: the Alexandria database, functional PBE.

ΔE_f = 735 meV per atom
Fermi-level density of states = 3.5 states/eV per cell
Crystal system = tetragonal
M_tot = 1.5 Bohr magnetons per cell

a = 4.1934 Å, b = 3.9432 Å, c = 4.1934 Å
α = 90.00°, β = 90.00°, γ = 90.00°
Atoms (fractional coordinates):
Li1 0.0000 0.0000 0.0000
Ga1 0.0000 0.0000 0.5000
Ir1 0.5000 0.5000 0.5000
Ga2 0.5000 0.0000 0.0000
Fe1 0.0000 0.5000 0.0000

---

Crystalline Mg2GaFe2Ir5 at its relaxed geometry. Source: the Alexandria database, functional PBE.

ΔE_f = -91 meV per atom
Fermi-level density of states = 18.8 states/eV per cell
Crystal system = tetragonal
M_tot = 12.5 Bohr magnetons per cell

a = 3.7442 Å, b = 9.0338 Å, c = 9.0338 Å
α = 90.00°, β = 90.00°, γ = 90.00°
Atoms (fractional coordinates):
Ir1 0.5000 0.9298 0.2002
Ir2 0.5000 0.4298 0.2998
Mg1 0.0000 0.8288 0.6712
Fe1 0.0000 0.1278 0.6278
Ir3 0.5000 0.0000 0.5000
Ga1 0.0000 0.5000 0.5000
Ir4 0.5000 0.2998 0.5702
Fe2 0.0000 0.3722 0.1278
Ga2 0.0000 0.0000 0.0000
Fe3 0.0000 0.6278 0.8722
Ir5 0.5000 0.2002 0.0702
Ir6 0.5000 0.7998 0.9298
Mg2 0.0000 0.6712 0.1712
Ir7 0.5000 0.5000 0.0000
Ir8 0.5000 0.7002 0.4298
Fe4 0.0000 0.8722 0.3722
Mg3 0.0000 0.3288 0.8288
Ir9 0.5000 0.5702 0.7002
Ir10 0.5000 0.0702 0.7998
Mg4 0.0000 0.1712 0.3288